Computed, not measured: Fe10O11F9 after structural relaxation at the PBE with a Hubbard U level of DFT.

Lattice parameters (Å, degrees): 4.6619 15.2434 4.6656 90.00 93.76 90.00
Last column: nearest neighbours and their distance in Å.
Element x y z (fractional)
Fe 0.0000 0.0000 0.0000  3 O 1.92-1.96, 2 F 2.10
Fe 0.0096 0.2084 0.0004  4 O 1.92-1.99, 1 F 2.15
Fe 0.0096 0.7916 0.0004  4 O 1.92-1.99, 1 F 2.15
Fe 0.4797 0.2999 0.5435  3 O 1.88-1.90, 3 F 2.01-2.04
Fe 0.4797 0.7001 0.5435  3 O 1.88-1.90, 3 F 2.01-2.04
Fe 0.4807 0.5000 0.5461  2 O 1.91, 4 F 1.96-1.97
Fe 0.4958 0.1023 0.5802  3 O 1.90-1.95, 2 F 2.02-2.11
Fe 0.4958 0.8977 0.5802  3 O 1.90-1.95, 2 F 2.02-2.11
Fe 0.9816 0.4001 0.0462  4 O 1.93-1.99, 2 F 2.12-2.13
Fe 0.9816 0.5999 0.0462  4 O 1.93-1.99, 2 F 2.12-2.13
O 0.1796 0.5000 0.2468  3 Fe 1.91-1.98
O 0.1862 0.3048 0.2406  3 Fe 1.90-1.99
O 0.1862 0.6952 0.2406  3 Fe 1.90-1.99
O 0.3058 0.2051 0.7238  3 Fe 1.88-1.95
O 0.3058 0.7949 0.7238  3 Fe 1.88-1.95
O 0.3102 0.0000 0.7370  3 Fe 1.95-1.96
O 0.7811 0.5000 0.8460  3 Fe 1.91-1.99
O 0.7829 0.3066 0.8362  3 Fe 1.90-1.96
O 0.7829 0.6934 0.8362  3 Fe 1.90-1.96
O 0.8178 0.1047 0.8518  3 Fe 1.90-1.92
O 0.8178 0.8953 0.8518  3 Fe 1.90-1.92
F 0.2129 0.1012 0.2342  3 Fe 2.02-2.15
F 0.2129 0.8988 0.2342  3 Fe 2.02-2.15
F 0.2924 0.4029 0.7337  3 Fe 1.96-2.12
F 0.2924 0.5971 0.7337  3 Fe 1.96-2.12
F 0.6668 0.4020 0.3557  3 Fe 1.97-2.13
F 0.6668 0.5980 0.3557  3 Fe 1.97-2.13
F 0.6898 0.2020 0.3455  3 Fe 2.04-2.27
F 0.6898 0.7980 0.3455  3 Fe 2.04-2.27
F 0.7092 0.0000 0.3474  3 Fe 2.18

As for the energy above the lowest structure with this stoichiometry: 77 meV per atom. The value obtained for the total magnetization is 13.1 μB per cell.